--- one ---
## CaPm2Hg3 (PBE-GGA)

Data for an optimized crystal structure of CaPm2Hg3.

The structure in POSCAR format:
```
CaPm2Hg3
1.0
5.372 0.000 0.000
-2.686 4.653 0.000
0.000 0.000 13.170
Pm Ca Hg
4 2 6
Direct
0.000 0.000 0.000
0.667 0.333 0.829
0.333 0.667 0.171
0.000 0.000 0.500
0.667 0.333 0.334
0.333 0.667 0.666
0.667 0.333 0.583
0.000 0.000 0.251
0.333 0.667 0.917
0.333 0.667 0.417
0.000 0.000 0.749
0.667 0.333 0.083
```

Values from the calculation:
total magnetic moment: 0.1 μB/f.u.

--- two ---
## CaPm2Hg3 (PBE-GGA)

Data for an optimized crystal structure of CaPm2Hg3.

The structure in POSCAR format:
```
CaPm2Hg3
1.0
3.785 0.000 0.000
0.000 3.785 0.000
0.000 0.000 11.569
Hg Pm Ca
3 2 1
Direct
0.000 0.000 0.670
0.000 0.000 0.330
0.000 0.000 0.000
0.500 0.500 0.166
0.500 0.500 0.834
0.500 0.500 0.500
```

Values from the calculation:
total magnetic moment: 0.3 μB/f.u.

Winner for stability: one

--- one ---
## CaPmPrHg (PBE-GGA)

Data for an optimized crystal structure of CaPmPrHg.

The structure in POSCAR format:
```
CaPmPrHg
1.0
5.599 0.000 0.000
2.800 4.849 0.000
2.800 1.616 4.572
Pm Ca Hg Pr
1 1 1 1
Direct
0.000 0.000 0.000
0.250 0.250 0.250
0.750 0.750 0.750
0.500 0.500 0.500
```

Values from the calculation:
total magnetic moment: 0.0 μB/f.u.

--- two ---
## CaPmPrHg (PBE-GGA)

Data for an optimized crystal structure of CaPmPrHg.

The structure in POSCAR format:
```
CaPmPrHg
1.0
5.610 0.000 0.000
2.805 4.858 0.000
2.805 1.619 4.581
Hg Pm Ca Pr
1 1 1 1
Direct
0.250 0.250 0.250
0.750 0.750 0.750
0.500 0.500 0.500
0.000 0.000 0.000
```

Values from the calculation:
total magnetic moment: 1.1 μB/f.u.

Winner for stability: one